{"formula": "ZrRe2Ni", "functional": "PBEsol", "state": "relaxed", "lattice_angstrom": [[-2.026, -1.762, 0.844], [2.670, -1.637, 2.990], [-0.946, 3.961, 3.013]], "species": ["Re", "Re", "Ni", "Zr"], "fractional_positions": [[0.768, 0.500, 0.191], [0.121, 0.000, 0.036], [0.082, 0.500, 0.733], [0.529, 0.000, 0.540]], "e_tot_ha_per_atom": -0.3864, "spacegroup": "No. 6", "e_above_lowest_polymorph_mev_per_atom": 0}